1) La2Pr5Y2 | PBE | optimized geometry

Unit cell a=16.9052 b=6.9044 c=12.3735 alpha=90.00 beta=116.47 gamma=90.00
Last column: nearest neighbours and their distance in Å.
Space group C2 (No. 5)
Symmetry-distinct sites (fractional):
1 La 0.0000 0.0000 0.0000 [2 per cell]  4 Pr 3.30-3.65, 2 Y 3.58
2 La 0.0000 0.4542 0.5000 [2 per cell]  6 Pr 3.60-3.95, 2 La 3.83, 2 Y 3.88
3 La 0.2410 0.3993 0.7367 [4 per cell]  5 Pr 3.43-3.70, 1 Y 3.72, 1 La 3.83
4 Pr 0.0485 0.7236 0.8204 [4 per cell]  1 Pr 3.06, 1 La 3.30, 1 Y 3.40
5 Pr 0.0633 0.2846 0.8022 [4 per cell]  3 Pr 3.06-3.10
6 Pr 0.1068 0.0738 0.3653 [4 per cell]  2 Pr 3.06-3.38
7 Pr 0.1785 0.5808 0.4281 [4 per cell]  3 Pr 3.38-3.67, 3 La 3.61-3.70, 2 Y 3.62-3.78
8 Pr 0.2278 0.0609 0.9849 [4 per cell]  1 Pr 3.10, 1 La 3.43
9 Y 0.1163 0.4442 0.1182 [4 per cell]  6 Pr 3.50-3.85, 2 La 3.58-3.88, 2 Y 3.71-3.85
10 Y 0.1395 0.9115 0.6478 [4 per cell]  4 Pr 3.40-3.78, 1 La 3.72

Properties
N(E_F) = 12.7 states/eV/f.u.



2) La2Pr5Y2 | PBE | optimized geometry

Unit cell a=5.2322 b=5.2595 c=23.4512 alpha=90.00 beta=96.39 gamma=90.00
Last column: nearest neighbours and their distance in Å.
Space group C2/m (No. 12)
Symmetry-distinct sites (fractional):
1 La 0.1659 0.0000 0.3313 [4 per cell]  4 Y 3.67-3.69, 4 Pr 3.69-3.70, 4 La 3.71
2 Pr 0.0000 0.5000 0.0000 [2 per cell]  12 Pr 3.70-3.71
3 Pr 0.0565 0.0000 0.1124 [4 per cell]  4 Y 3.63-3.64, 8 Pr 3.70-3.71
4 Pr 0.2210 0.5000 0.4432 [4 per cell]  4 La 3.69-3.70, 8 Pr 3.71-3.73
5 Y 0.1098 0.5000 0.2206 [4 per cell]  4 Pr 3.63-3.64, 4 La 3.67-3.69, 4 Y 3.71

Properties
N(E_F) = 14.5 states/eV/f.u.



Relative to the most stable structure, the computed energies are 1) 11.2; 2) 0.0, all in kJ/mol of atoms.



1) La4PrY2 | PBE | optimized geometry

Unit cell a=7.0327 b=11.6662 c=12.2788 alpha=90.00 beta=90.00 gamma=90.00
Last column: nearest neighbours and their distance in Å.
Space group Imma (No. 74)
Symmetry-distinct sites (fractional):
1 La 0.0000 0.0027 0.1501 [8 per cell]  1 Y 3.32, 2 Pr 3.64, 3 La 3.69-3.71
2 La 0.2164 0.2500 0.0059 [8 per cell]  1 La 3.04, 1 Pr 3.15, 1 Y 3.26
3 Pr 0.2500 0.2500 0.7500 [4 per cell]  2 La 3.15, 2 Pr 3.52
4 Y 0.0000 0.0000 0.5000 [4 per cell]  4 La 3.53, 2 Y 3.94
5 Y 0.0000 0.2500 0.2842 [4 per cell]  4 La 3.26-3.32, 2 Y 3.62

Properties
N(E_F) = 11.9 states/eV/f.u.



2) La4PrY2 | PBE | optimized geometry

Unit cell a=6.5819 b=24.7938 c=6.9510 alpha=90.00 beta=118.13 gamma=90.00
Last column: nearest neighbours and their distance in Å.
Space group Cc (No. 9)
Symmetry-distinct sites (fractional):
1 La 0.0000 0.0173 0.0000 [4 per cell]  6 La 3.45-3.81, 2 Pr 3.61-3.79, 2 Y 3.65-3.68
2 La 0.3767 0.2333 0.7533 [4 per cell]  6 La 3.46-3.80, 2 Pr 3.60-3.82, 2 Y 3.65-3.68
3 La 0.4095 0.1983 0.2870 [4 per cell]  5 La 3.46-3.80, 4 Y 3.57-3.72, 1 Pr 3.68
4 La 0.4991 0.0513 0.4649 [4 per cell]  5 La 3.45-3.81, 4 Y 3.57-3.71, 1 Pr 3.69
5 Pr 0.4744 0.3752 0.8762 [4 per cell]  4 Y 3.51-3.70, 8 La 3.60-3.92
6 Y 0.3891 0.3424 0.3240 [4 per cell]  2 Pr 3.51-3.70, 6 La 3.57-3.72, 2 Y 3.71-3.72
7 Y 0.4413 0.0929 0.9279 [4 per cell]  2 Pr 3.51-3.70, 6 La 3.57-3.71, 2 Y 3.71-3.72

Properties
N(E_F) = 12.6 states/eV/f.u.



Relative to the most stable structure, the computed energies are 1) 14.5; 2) 0.0, all in kJ/mol of atoms.



1) La6PrY2 | PBE | optimized geometry

Unit cell a=6.6111 b=6.6111 c=9.4691 alpha=90.00 beta=90.00 gamma=120.00
Last column: nearest neighbours and their distance in Å.
Space group P-31m (No. 162)
Symmetry-distinct sites (fractional):
1 La 0.0000 0.3606 0.2035 [6 per cell]  1 Pr 3.07
2 Pr 0.0000 0.0000 0.0000 [1 per cell]  6 La 3.07
3 Y 0.3333 0.6667 0.5000 [2 per cell]  6 La 3.52, 3 Y 3.82

Properties
N(E_F) = 15.5 states/eV/f.u.



2) La6PrY2 | PBE | optimized geometry

Unit cell a=9.4961 b=18.3051 c=3.7294 alpha=90.00 beta=99.02 gamma=90.00
Last column: nearest neighbours and their distance in Å.
Space group C2/m (No. 12)
Symmetry-distinct sites (fractional):
1 La 0.1670 0.0000 0.3172 [4 per cell]  2 Pr 3.55-3.74, 8 La 3.64-3.73
2 La 0.1692 0.1714 0.8250 [8 per cell]  7 La 3.42-3.73, 3 Y 3.54-3.71
3 Pr 0.0000 0.5000 0.0000 [2 per cell]  4 Y 3.53, 4 La 3.55-3.74, 2 Pr 3.73
4 Y 0.0000 0.3361 0.5000 [4 per cell]  2 Pr 3.53, 6 La 3.54-3.71, 2 Y 3.73

Properties
N(E_F) = 17.9 states/eV/f.u.



Relative to the most stable structure, the computed energies are 1) 29.1; 2) 0.0, all in kJ/mol of atoms.